Compound: TbHo2Sb2
Source: Alexandria
Functional: PBE
Structure: relaxed

## Properties
Its volume is 300.6 Å³/cell. As for the crystal system: monoclinic. The space-group type is C2/m (12). For the total moment, the calculation gives 0.00 Bohr magnetons per cell.

Lattice parameters (Å, degrees): 7.2248 6.0799 7.1416 90.00 106.61 90.00
Fractional positions:
1 Tb 0.0000 0.0000 0.0000
2 Tb 0.5000 0.5000 0.0000
3 Ho 0.0000 0.2507 0.5000
4 Ho 0.0000 0.7493 0.5000
5 Ho 0.5000 0.2493 0.5000
6 Ho 0.5000 0.7507 0.5000
7 Sb 0.1701 0.5000 0.2085
8 Sb 0.3299 0.0000 0.7915
9 Sb 0.6701 0.0000 0.2085
10 Sb 0.8299 0.5000 0.7915



Compound: TbHo2Sb3
Source: Alexandria
Functional: PBE
Structure: relaxed

## Properties
Its volume is 356.1 Å³/cell. As for the crystal system: orthorhombic. The space-group type is Immm (71). For the total moment, the calculation gives 0.00 Bohr magnetons per cell.

Lattice parameters (Å, degrees): 4.3793 6.1892 13.1372 90.00 90.00 90.00
Fractional positions:
1 Tb 0.0000 0.0000 0.0000
2 Tb 0.5000 0.5000 0.5000
3 Ho 0.0000 0.0000 0.3337
4 Ho 0.0000 0.0000 0.6663
5 Ho 0.5000 0.5000 0.1663
6 Ho 0.5000 0.5000 0.8337
7 Sb 0.0000 0.5000 0.0000
8 Sb 0.0000 0.5000 0.3320
9 Sb 0.0000 0.5000 0.6680
10 Sb 0.5000 0.0000 0.1680
11 Sb 0.5000 0.0000 0.5000
12 Sb 0.5000 0.0000 0.8320



Compound: Tb5Ho2Sb5
Source: Alexandria
Functional: PBE
Structure: relaxed

## Properties
Its volume is 367.0 Å³/cell. As for the crystal system: monoclinic. The space-group type is C2/m (12). For the total moment, the calculation gives 0.00 Bohr magnetons per cell.

Lattice parameters (Å, degrees): 7.4524 7.4524 12.5733 109.01 109.01 33.98
Fractional positions:
1 Tb 0.0000 0.0000 0.0000
2 Tb 0.1601 0.1601 0.5357
3 Tb 0.2224 0.2224 0.8440
4 Tb 0.7776 0.7776 0.1560
5 Tb 0.8399 0.8399 0.4643
6 Ho 0.4541 0.4541 0.7131
7 Ho 0.5459 0.5459 0.2869
8 Sb 0.1952 0.1952 0.2901
9 Sb 0.3819 0.3819 0.0696
10 Sb 0.5000 0.5000 0.5000
11 Sb 0.6181 0.6181 0.9304
12 Sb 0.8048 0.8048 0.7099



Compound: Tb2HoSb3
Source: Alexandria
Functional: PBE
Structure: relaxed

## Properties
Its volume is 358.9 Å³/cell. As for the crystal system: orthorhombic. The space-group type is Immm (71). For the total moment, the calculation gives 0.00 Bohr magnetons per cell.

Lattice parameters (Å, degrees): 4.3918 6.2051 13.1691 90.00 90.00 90.00
Fractional positions:
1 Tb 0.0000 0.0000 0.1671
2 Tb 0.0000 0.0000 0.8329
3 Tb 0.5000 0.5000 0.3329
4 Tb 0.5000 0.5000 0.6671
5 Ho 0.0000 0.0000 0.5000
6 Ho 0.5000 0.5000 0.0000
7 Sb 0.0000 0.5000 0.1654
8 Sb 0.0000 0.5000 0.5000
9 Sb 0.0000 0.5000 0.8346
10 Sb 0.5000 0.0000 0.0000
11 Sb 0.5000 0.0000 0.3346
12 Sb 0.5000 0.0000 0.6654



Computed calculated total energy, in the same sequence as the records: -4.998 -5.484 -5.266 -5.504 eV per atom.